The following is a PBE calculation of crystalline YPaRhO6 at its relaxed geometry, from Alexandria.

Structure (extended XYZ):
```
18
Lattice="5.4375 0.0000 0.0000 -2.7188 4.7090 0.0000 0.0000 0.0000 9.8750" Properties=species:S:1:pos:R:3 pbc="T T T"
Y 0.0000 0.0000 0.0000
Y 0.0000 0.0000 4.9375
Pa 0.0000 3.1394 2.4688
Pa 2.7188 1.5697 7.4063
Rh 0.0000 3.1394 7.4063
Rh 2.7188 1.5697 2.4688
O -0.8509 1.6798 6.2715
O -1.6895 3.1322 8.5410
O 0.8509 1.6798 8.5410
O -0.8386 4.6061 6.2715
O 1.8802 0.1030 1.3340
O 1.0293 1.5768 3.6035
O 1.6895 3.1322 6.2715
O 0.8386 4.6061 8.5410
O 3.5573 0.1030 3.6035
O 1.8679 3.0293 1.3340
O 4.4083 1.5768 1.3340
O 3.5697 3.0293 3.6035
```

Results
As for the formation energy (no corrections): -2.56 eV per atom. As for the density of states at the Fermi level: 13.584 states/eV/cell.